Entry from Alexandria via LeMat-Bulk: a geometry-optimized Pm5Sm5Y structure (PBE-GGA).

```
Pm5Sm5Y
1.0
6.198 0.000 0.000
-3.099 5.368 0.000
0.000 0.000 11.633
Pm Sm Y
5 5 1
Cartesian
0.000 0.000 2.745 Pm
0.000 0.000 8.888 Pm
1.575 0.910 0.000 Pm
4.623 0.910 0.000 Pm
3.099 3.549 0.000 Pm
0.000 0.000 5.816 Sm
0.000 3.578 2.110 Sm
0.000 3.578 9.523 Sm
3.099 1.789 3.979 Sm
3.099 1.789 7.654 Sm
0.000 3.578 5.816 Y
```

Crystal system: hexagonal
Uncorrected energy, eV per cell: -50.5
Magnetic moment, Bohr magnetons per cell: 0.00
Density of states at the Fermi level, states/eV per cell: 18.5
Energy above the most stable polymorph in this dataset, meV per atom: 8
Space group: P-6m2
Calculated formation energy, eV/f.u.: 3.311



Entry from Alexandria via LeMat-Bulk: a geometry-optimized Pm2Sm4Y structure (PBE-GGA).

```
Pm2Sm4Y
1.0
1.813 1.047 20.691
-1.813 1.047 20.691
0.000 -2.094 20.691
Pm Sm Y
2 4 1
Cartesian
0.000 0.000 4.447 Pm
0.000 0.000 57.626 Pm
0.000 0.000 13.270 Sm
0.000 0.000 22.166 Sm
0.000 0.000 39.908 Sm
0.000 0.000 48.803 Sm
0.000 0.000 31.037 Y
```

Crystal system: trigonal
Uncorrected energy, eV per cell: -34.8
Magnetic moment, Bohr magnetons per cell: 0.00
Density of states at the Fermi level, states/eV per cell: 8.8
Space group: R-3m
Calculated formation energy, eV/f.u.: 0.078